# 1
## CdAgPb (PBE)

Data for a relaxed CdAgPb crystal.

Cell: 4.984 4.984 3.416 Å, 90.00 90.00 120.00°
Fractional positions:
Cd: 0.333 0.667 0.170
Pb: 0.667 0.333 0.667
Ag: 0.000 0.000 0.163

**Space group**: P3m1, No. 156
**Energy of formation**: 7.95 kJ/mol of atoms
**DOS(E_F)**: 0.362 states/eV/atom

# 2
## In3GeB (PBE)

Data for a relaxed In3GeB crystal.

Cell: 4.806 4.806 4.806 Å, 90.00 90.00 90.00°
Fractional positions:
B: 0.000 0.000 0.000
In: 0.500 0.000 0.000
In: 0.000 0.000 0.500
In: 0.000 0.500 0.000
Ge: 0.500 0.500 0.500

**Space group**: Pm-3m, No. 221
**Energy of formation**: 57.18 kJ/mol of atoms
**DOS(E_F)**: 0.598 states/eV/atom

# 3
## PrDy2YP4 (PBE)

Data for a relaxed PrDy2YP4 crystal.

Cell: 4.062 7.030 7.031 Å, 109.46 90.00 90.00°
Fractional positions:
Y: 0.000 0.000 0.000
P: 0.500 0.247 0.254
P: 0.000 0.758 0.258
P: 0.000 0.242 0.742
P: 0.500 0.753 0.746
Pr: 0.500 0.500 0.000
Dy: 0.500 0.000 0.500
Dy: 0.000 0.500 0.500

**Space group**: P2/m, No. 10
**Energy of formation**: -152.61 kJ/mol of atoms
**DOS(E_F)**: 0.093 states/eV/atom

The highest energy of formation belongs to which entry?
In3GeB

What did the second record say?
## In3GeB (PBE)

Data for a relaxed In3GeB crystal.

Cell: 4.806 4.806 4.806 Å, 90.00 90.00 90.00°
Fractional positions:
B: 0.000 0.000 0.000
In: 0.500 0.000 0.000
In: 0.000 0.000 0.500
In: 0.000 0.500 0.000
Ge: 0.500 0.500 0.500

**Space group**: Pm-3m, No. 221
**Energy of formation**: 57.18 kJ/mol of atoms
**DOS(E_F)**: 0.598 states/eV/atom

Among the records above, which one has the lowest DOS(E_F)?
PrDy2YP4